This record from Alexandria describes a geometry-optimized In2C structure. The functional is GGA-PBE.

The density of states at the Fermi level is 6.1 states/eV per cell. The calculation puts the formation enthalpy at 0 K at 3.268 eV/f.u.

It has space group R3m (No. 160, hexagonal axes), with a = 3.4540 Å, b = 3.4540 Å, c = 16.3878 Å, α = 90.00°, β = 90.00° and γ = 120.00°. The inequivalent atoms are In at (0.0000, 0.0000, 0.0000), In at (0.0000, 0.0000, 0.1737) and C at (0.0000, 0.0000, 0.4210).